## TiNiMo2Pt (PBE-GGA)

Data for TiNiMo2Pt after structural relaxation.

a = 4.7485 Å, b = 4.5399 Å, c = 4.7485 Å
α = 90.00°, β = 90.00°, γ = 90.00°
Closest atoms and distances in Å follow each position.
Fractional coordinates of all 5 atoms:
Ni: 0.0000 0.5000 0.0000  2 Pt 2.27
Mo: 0.0000 0.0000 0.5000  2 Pt 2.37
Mo: 0.5000 0.0000 0.0000  2 Pt 2.37
Pt: 0.0000 0.0000 0.0000  2 Ni 2.27, 4 Mo 2.37
Ti: 0.5000 0.5000 0.5000  8 Mo 3.28, 4 Ni 3.36

## Properties
SG: P4/mmm (123)
Raw total energy, eV per atom: -6.86
Formation energy, eV/atom: 1.415
Calculated density, g cm⁻³: 8.006

---

## AcLa5As6 (PBE-GGA)

Data for AcLa5As6 after structural relaxation.

a = 7.6336 Å, b = 7.6325 Å, c = 7.6324 Å
α = 60.00°, β = 80.40°, γ = 70.53°
Closest atoms and distances in Å follow each position.
Fractional coordinates of all 12 atoms:
Ac: 0.0000 0.0000 0.0000  6 As 3.17
As: 0.7466 0.0845 0.3390  5 La 3.07-3.12, 1 Ac 3.17
As: 0.2534 0.5765 0.3390  5 La 3.07-3.12, 1 Ac 3.17
As: 0.2532 0.2547 0.0000  5 La 3.07-3.12, 1 Ac 3.17
As: 0.7468 0.7453 0.0000  5 La 3.07-3.12, 1 Ac 3.17
As: 0.7466 0.4235 0.6610  5 La 3.07-3.12, 1 Ac 3.17
As: 0.2534 0.9155 0.6610  5 La 3.07-3.12, 1 Ac 3.17
La: 0.5000 0.1661 0.6678  6 As 3.07-3.12
La: 0.0000 0.3331 0.3338  6 As 3.11
La: 0.5000 0.5000 0.0000  6 As 3.07-3.12
La: 0.0000 0.6669 0.6662  6 As 3.11
La: 0.5000 0.8339 0.3322  6 As 3.07-3.12

## Properties
SG: C2/m (12)
Raw total energy, eV per atom: -6.28
Formation energy, eV/atom: -1.556
Calculated density, g cm⁻³: 6.271